# GGA+U CaW3F, optimized geometry
data_CaW3F
_chemical_formula_sum 'Ca1 W3 F1'
_symmetry_space_group_name_H-M 'P m -3 m'
_symmetry_Int_Tables_number 221
_symmetry_space_group_name_Hall '-P 4 2 3'
_cell_length_a 6.1364
_cell_length_b 6.1364
_cell_length_c 6.1364
_cell_angle_alpha 90.00
_cell_angle_beta 90.00
_cell_angle_gamma 90.00
loop_
_atom_site_label
_atom_site_fract_x
_atom_site_fract_y
_atom_site_fract_z
Ca1 0.0000 0.0000 0.0000
W1 0.0000 0.0000 0.5000
F1 0.5000 0.5000 0.5000
# Crystal system: cubic
# Calculated total energy in eV per atom: -2.61
# V in Å³ per atom: 46.21